The following is a DFT calculation (PBE with a Hubbard U) of crystalline NaTcMoO6 at its relaxed geometry.

Its space group is P-31c. The value obtained for the volume is 249.0 Å³ per cell. The calculation puts the total energy at -61.9 eV/f.u.

```
data_NaTcMoO6
_cell_length_a 5.279
_cell_length_b 5.279
_cell_length_c 10.319
_cell_angle_alpha 90.00
_cell_angle_beta 90.00
_cell_angle_gamma 120.00
_symmetry_space_group_name_H-M 'P 1'
_symmetry_Int_Tables_number 1
_symmetry_space_group_name_Hall 'P 1'
loop_
_atom_site_label
_atom_site_type_symbol
_atom_site_fract_x
_atom_site_fract_y
_atom_site_fract_z
Na1 Na 0.000 0.000 0.500
Mo1 Mo 0.667 0.333 0.250
O1 O 0.999 0.383 0.146
O2 O 0.383 0.999 0.646
O3 O 0.384 0.383 0.354
O4 O 0.617 0.616 0.146
O5 O 0.617 0.001 0.354
Tc1 Tc 0.667 0.333 0.750
O6 O 0.999 0.616 0.354
Tc2 Tc 0.333 0.667 0.250
O7 O 0.616 0.617 0.646
O8 O 0.384 0.001 0.146
O9 O 0.383 0.384 0.854
O10 O 0.001 0.617 0.854
Na2 Na 0.000 0.000 0.000
O11 O 0.001 0.384 0.646
O12 O 0.616 0.999 0.854
Mo2 Mo 0.333 0.667 0.750
```